(1)
Ce2BiF after structural relaxation, computed with PBE.

Calculated values
- ΔE to the lowest computed polymorph: 0.139 eV/atom
- Volume: 25.09 A^3/atom
- Raw formation energy: -1.434 eV/atom
- Total moment: 1.98 μB/f.u.

The structure in POSCAR format:
```
Ce2BiF
1.0
2.0561 1.1871 6.8520
-2.0561 1.1871 6.8520
0.0000 -2.3742 6.8520
Ce Bi F
2 1 1
Direct
0.2300 0.2300 0.2300 Ce
0.7700 0.7700 0.7700 Ce
0.0000 0.0000 0.0000 Bi
0.5000 0.5000 0.5000 F
```

***

(2)
Ce2BiF after structural relaxation, computed with PBE.

Calculated values
- ΔE to the lowest computed polymorph: 0.000 eV/atom
- Volume: 26.66 A^3/atom
- Raw formation energy: -1.572 eV/atom
- Total moment: 2.35 μB/f.u.

The structure in POSCAR format:
```
Ce2BiF
1.0
8.1929 0.0000 0.0000
0.0000 6.5024 0.0000
-1.5881 0.0000 8.0056
Ce Bi F
8 4 4
Direct
0.0454 0.1311 0.3318 Ce
0.0454 0.3689 0.8318 Ce
0.3392 0.6621 0.5171 Ce
0.3392 0.8379 0.0171 Ce
0.6608 0.1621 0.9829 Ce
0.6608 0.3379 0.4829 Ce
0.9546 0.6311 0.1682 Ce
0.9546 0.8689 0.6682 Ce
0.3325 0.1430 0.6659 Bi
0.3325 0.3570 0.1659 Bi
0.6675 0.6430 0.8341 Bi
0.6675 0.8570 0.3341 Bi
0.2089 0.6576 0.7582 F
0.2089 0.8424 0.2582 F
0.7911 0.1576 0.7418 F
0.7911 0.3424 0.2418 F
```

***

(3)
CeBiF after structural relaxation, computed with PBE.

Calculated values
- ΔE to the lowest computed polymorph: 0.131 eV/atom
- Volume: 27.94 A^3/atom
- Raw formation energy: -1.876 eV/atom
- Total moment: 0.56 μB/f.u.

The structure in POSCAR format:
```
CeBiF
1.0
7.7985 0.0000 0.0000
0.0000 6.5316 0.0000
0.0000 0.0000 6.5832
Ce Bi F
4 4 4
Direct
0.1861 0.2500 0.1377 Ce
0.3139 0.7500 0.6377 Ce
0.6861 0.2500 0.3623 Ce
0.8139 0.7500 0.8623 Ce
0.1693 0.7500 0.1514 Bi
0.3307 0.2500 0.6514 Bi
0.6693 0.7500 0.3486 Bi
0.8307 0.2500 0.8486 Bi
0.0259 0.7500 0.6306 F
0.4741 0.2500 0.1306 F
0.5259 0.7500 0.8694 F
0.9741 0.2500 0.3694 F
```

***

(4)
Ce2BiOF after structural relaxation, computed with PBE.

Calculated values
- Volume: 21.58 A^3/atom
- Raw formation energy: -2.480 eV/atom
- Total moment: 2.00 μB/f.u.

The structure in POSCAR format:
```
Ce2BiOF
1.0
-2.0332 2.0332 6.5257
2.0332 -2.0332 6.5257
2.0332 2.0332 -6.5257
Ce Bi O F
2 1 1 1
Direct
0.1471 0.1471 0.0000 Ce
0.8529 0.8529 0.0000 Ce
0.5000 0.5000 0.0000 Bi
0.7500 0.2500 0.5000 O
0.2500 0.7500 0.5000 F
```

***

(5)
Ce6FeBi2 after structural relaxation, computed with PBE.

Calculated values
- Formation energy: -0.41 eV per atom
- Volume: 26.55 A^3/atom
- Total moment: 3.42 μB/f.u.

The structure in POSCAR format:
```
Ce6FeBi2
1.0
-3.4237 3.4237 5.0972
3.4237 -3.4237 5.0972
3.4237 3.4237 -5.0972
Ce Fe Bi
6 1 2
Direct
0.2307 0.2307 0.0000 Ce
0.2811 0.2811 0.5622 Ce
0.2811 0.7189 0.0000 Ce
0.7189 0.2811 0.0000 Ce
0.7189 0.7189 0.4378 Ce
0.7693 0.7693 0.0000 Ce
0.0000 0.0000 0.0000 Fe
0.2500 0.7500 0.5000 Bi
0.7500 0.2500 0.5000 Bi
```

***

(6)
Ce5FeBi2 after structural relaxation, computed with PBE.

Calculated values
- Formation energy: -0.32 eV per atom
- Volume: 28.25 A^3/atom
- Total moment: 1.57 μB/f.u.

The structure in POSCAR format:
```
Ce5FeBi2
1.0
5.6854 -3.5506 0.0000
5.6854 3.5506 0.0000
-4.5359 0.0000 5.5981
Ce Fe Bi
5 1 2
Direct
0.0000 0.0000 0.0000 Ce
0.0702 0.5629 0.5329 Ce
0.0788 0.5761 0.0445 Ce
0.5629 0.0702 0.5329 Ce
0.5761 0.0788 0.0445 Ce
0.3151 0.3151 0.3258 Fe
0.0668 0.0668 0.5421 Bi
0.5697 0.5697 0.0309 Bi
```

***

(7)
Ce4FeBi2 after structural relaxation, computed with PBE.

Calculated values
- Formation energy: -0.51 eV per atom
- ΔE to the lowest computed polymorph: 0.022 eV/atom
- Volume: 27.65 A^3/atom
- Total moment: 2.92 μB/f.u.

The structure in POSCAR format:
```
Ce4FeBi2
1.0
2.4867 -8.2006 0.0000
2.4867 8.2006 0.0000
0.0000 0.0000 4.7459
Ce Fe Bi
4 1 2
Direct
0.0000 0.0000 0.0000 Ce
0.1775 0.8225 0.5000 Ce
0.5000 0.5000 0.5000 Ce
0.8225 0.1775 0.5000 Ce
0.0000 0.0000 0.5000 Fe
0.3487 0.6513 0.0000 Bi
0.6513 0.3487 0.0000 Bi
```

***

(8)
Ce8FeBi4 after structural relaxation, computed with PBE.

Calculated values
- Formation energy: -0.42 eV per atom
- Volume: 29.18 A^3/atom
- Total moment: 8.58 μB/f.u.

The structure in POSCAR format:
```
Ce8FeBi4
1.0
4.6616 0.0000 0.0000
0.0000 4.9054 0.0000
0.0000 0.0000 16.5887
Ce Fe Bi
8 1 4
Direct
0.0000 0.0000 0.0000 Ce
0.0000 0.0000 0.3128 Ce
0.0000 0.5000 0.1421 Ce
0.0000 0.5000 0.8018 Ce
0.5000 0.0000 0.4826 Ce
0.5000 0.0000 0.8084 Ce
0.5000 0.5000 0.3108 Ce
0.5000 0.5000 0.6277 Ce
0.5000 0.5000 0.8108 Fe
0.0000 0.0000 0.6537 Bi
0.0000 0.5000 0.4594 Bi
0.5000 0.0000 0.1645 Bi
0.5000 0.5000 0.9738 Bi
```

***

(9)
Ce3FeBi after structural relaxation, computed with PBE.

Calculated values
- Formation energy: -0.38 eV per atom
- ΔE to the lowest computed polymorph: 0.029 eV/atom
- Volume: 26.72 A^3/atom
- Total moment: 2.21 μB/f.u.

The structure in POSCAR format:
```
Ce3FeBi
1.0
5.1121 0.0000 0.0000
0.0000 5.1121 0.0000
0.0000 0.0000 5.1121
Ce Fe Bi
3 1 1
Direct
0.0000 0.0000 0.5000 Ce
0.0000 0.5000 0.0000 Ce
0.5000 0.0000 0.0000 Ce
0.0000 0.0000 0.0000 Fe
0.5000 0.5000 0.5000 Bi
```

***

(10)
Ce4FeBi2 after structural relaxation, computed with PBE.

Calculated values
- Formation energy: -0.54 eV per atom
- ΔE to the lowest computed polymorph: 0.000 eV/atom
- Volume: 29.20 A^3/atom
- Total moment: 2.75 μB/f.u.

The structure in POSCAR format:
```
Ce4FeBi2
1.0
-2.4079 2.4079 8.8135
2.4079 -2.4079 8.8135
2.4079 2.4079 -8.8135
Ce Fe Bi
4 1 2
Direct
0.0000 0.5000 0.5000 Ce
0.1695 0.1695 0.0000 Ce
0.5000 0.0000 0.5000 Ce
0.8305 0.8305 0.0000 Ce
0.0000 0.0000 0.0000 Fe
0.3581 0.3581 0.0000 Bi
0.6419 0.6419 0.0000 Bi
```

***

(11)
Ce3FeBi after structural relaxation, computed with PBE.

Calculated values
- Formation energy: -0.41 eV per atom
- ΔE to the lowest computed polymorph: 0.000 eV/atom
- Volume: 25.82 A^3/atom
- Total moment: 1.47 μB/f.u.

The structure in POSCAR format:
```
Ce3FeBi
1.0
3.7401 -7.2817 0.0000
3.7401 7.2817 0.0000
0.0000 0.0000 4.7395
Ce Fe Bi
6 2 2
Direct
0.0000 0.5000 0.5000 Ce
0.1158 0.8842 0.0000 Ce
0.3144 0.3144 0.5000 Ce
0.5000 0.0000 0.5000 Ce
0.6856 0.6856 0.5000 Ce
0.8842 0.1158 0.0000 Ce
0.1031 0.8969 0.5000 Fe
0.8969 0.1031 0.5000 Fe
0.3578 0.6422 0.0000 Bi
0.6422 0.3578 0.0000 Bi
```

***

(12)
Ce7Fe2Bi3 after structural relaxation, computed with PBE.

Calculated values
- Formation energy: -0.45 eV per atom
- Volume: 27.31 A^3/atom
- Total moment: 5.14 μB/f.u.

The structure in POSCAR format:
```
Ce7Fe2Bi3
1.0
5.0148 0.0000 0.0000
0.0000 4.8272 0.0000
-2.4722 0.0000 13.5403
Ce Fe Bi
7 2 3
Direct
0.0000 0.0000 0.0000 Ce
0.0984 0.5000 0.2013 Ce
0.2015 0.0000 0.4140 Ce
0.4018 0.0000 0.7995 Ce
0.5982 0.0000 0.2005 Ce
0.7985 0.0000 0.5860 Ce
0.9016 0.5000 0.7987 Ce
0.0994 0.0000 0.2012 Fe
0.9006 0.0000 0.7988 Fe
0.3131 0.5000 0.6188 Bi
0.5000 0.5000 0.0000 Bi
0.6869 0.5000 0.3812 Bi
```

***

(13)
Ce6FeBi2H after structural relaxation, computed with PBE.

Calculated values
- Total DFT energy (no corrections): -0.43582 Ry/atom
- Volume: 24.88 A^3/atom
- Total moment: 4.42 μB/f.u.

The structure in POSCAR format:
```
Ce6FeBi2H
1.0
4.9273 0.0000 0.0000
0.0000 4.9273 0.0000
0.0000 0.0000 10.2477
Ce Fe Bi H
6 1 2 1
Direct
0.0000 0.0000 0.2313 Ce
0.0000 0.0000 0.7687 Ce
0.0000 0.5000 0.0000 Ce
0.0000 0.5000 0.5000 Ce
0.5000 0.0000 0.0000 Ce
0.5000 0.0000 0.5000 Ce
0.0000 0.0000 0.5000 Fe
0.5000 0.5000 0.2462 Bi
0.5000 0.5000 0.7538 Bi
0.0000 0.0000 0.0000 H
```

***

(14)
Ce4FeBiPb after structural relaxation, computed with PBE.

Calculated values
- Formation energy: -0.44 eV per atom
- Volume: 29.22 A^3/atom
- Total moment: 2.42 μB/f.u.

The structure in POSCAR format:
```
Ce4FeBiPb
1.0
3.4157 -8.7642 0.0000
3.4157 8.7642 0.0000
0.0000 0.0000 6.8319
Ce Fe Bi Pb
8 2 2 2
Direct
0.0000 0.5000 0.0000 Ce
0.0000 0.5000 0.5000 Ce
0.0787 0.9213 0.7500 Ce
0.4191 0.5809 0.7500 Ce
0.5000 0.0000 0.0000 Ce
0.5000 0.0000 0.5000 Ce
0.5809 0.4191 0.2500 Ce
0.9213 0.0787 0.2500 Ce
0.2497 0.7503 0.7500 Fe
0.7503 0.2497 0.2500 Fe
0.3913 0.6087 0.2500 Bi
0.6087 0.3913 0.7500 Bi
0.1088 0.8912 0.2500 Pb
0.8912 0.1088 0.7500 Pb
```

***

(15)
CeTh2FeBi after structural relaxation, computed with PBE.

Calculated values
- Formation energy: -0.32 eV per atom
- Volume: 28.49 A^3/atom
- Total moment: 0.00 μB/f.u.

The structure in POSCAR format:
```
CeTh2FeBi
1.0
7.8336 0.0000 0.0000
0.0000 4.5689 0.0000
-2.4311 0.0000 7.9604
Ce Th Fe Bi
2 4 2 2
Direct
0.1548 0.2500 0.0940 Ce
0.8452 0.7500 0.9060 Ce
0.0846 0.7500 0.4033 Th
0.4782 0.2500 0.6798 Th
0.5218 0.7500 0.3202 Th
0.9154 0.2500 0.5967 Th
0.2852 0.2500 0.3630 Fe
0.7148 0.7500 0.6370 Fe
0.2514 0.7500 0.8445 Bi
0.7486 0.2500 0.1555 Bi
```

***

(16)
Ce5GaBi3 after structural relaxation, computed with PBE.

Calculated values
- Formation energy: -0.68 eV per atom
- Volume: 29.05 A^3/atom
- Total moment: 5.88 μB/f.u.

The structure in POSCAR format:
```
Ce5GaBi3
1.0
9.6465 0.0000 0.0000
-4.8233 8.3541 0.0000
0.0000 0.0000 6.4878
Ce Ga Bi
10 2 6
Direct
0.0000 0.2624 0.2500 Ce
0.0000 0.7376 0.7500 Ce
0.2624 0.0000 0.2500 Ce
0.2624 0.2624 0.7500 Ce
0.3333 0.6667 0.0000 Ce
0.3333 0.6667 0.5000 Ce
0.6667 0.3333 0.0000 Ce
0.6667 0.3333 0.5000 Ce
0.7376 0.0000 0.7500 Ce
0.7376 0.7376 0.2500 Ce
0.0000 0.0000 0.0000 Ga
0.0000 0.0000 0.5000 Ga
0.0000 0.3818 0.7500 Bi
0.0000 0.6182 0.2500 Bi
0.3818 0.0000 0.7500 Bi
0.3818 0.3818 0.2500 Bi
0.6182 0.0000 0.2500 Bi
0.6182 0.6182 0.7500 Bi
```

***

(17)
Ce5GaBi4 after structural relaxation, computed with PBE.

Calculated values
- Formation energy: -0.65 eV per atom
- Volume: 32.88 A^3/atom
- Total moment: 3.13 μB/f.u.

The structure in POSCAR format:
```
Ce5GaBi4
1.0
-5.0630 5.0630 3.2069
5.0630 -5.0630 3.2069
5.0630 5.0630 -3.2069
Ce Ga Bi
5 1 4
Direct
0.0000 0.0000 0.0000 Ce
0.2118 0.4012 0.6130 Ce
0.4012 0.7882 0.1893 Ce
0.5988 0.2118 0.8107 Ce
0.7882 0.5988 0.3870 Ce
0.5000 0.5000 0.0000 Ga
0.0942 0.6967 0.7909 Bi
0.3033 0.0942 0.3975 Bi
0.6967 0.9058 0.6025 Bi
0.9058 0.3033 0.2091 Bi
```

***

(18)
CeGa2Bi after structural relaxation, computed with PBE.

Calculated values
- Formation energy: -0.22 eV per atom
- ΔE to the lowest computed polymorph: 0.254 eV/atom
- Volume: 25.51 A^3/atom
- Total moment: 1.01 μB/f.u.

The structure in POSCAR format:
```
CeGa2Bi
1.0
2.4580 1.4191 4.8755
-2.4580 1.4191 4.8755
0.0000 -2.8382 4.8755
Ce Ga Bi
1 2 1
Direct
0.0000 0.0000 0.0000 Ce
0.2352 0.2352 0.2352 Ga
0.7648 0.7648 0.7648 Ga
0.5000 0.5000 0.5000 Bi
```

***

(19)
CeGaBi after structural relaxation, computed with PBE.

Calculated values
- Formation energy: -0.35 eV per atom
- ΔE to the lowest computed polymorph: 0.029 eV/atom
- Volume: 28.24 A^3/atom
- Total moment: 0.94 μB/f.u.

The structure in POSCAR format:
```
CeGaBi
1.0
3.9173 -2.1837 0.0000
3.9173 2.1837 0.0000
-2.0762 0.0000 9.9037
Ce Ga Bi
2 2 2
Direct
0.0569 0.0569 0.2041 Ce
0.9431 0.9431 0.7959 Ce
0.3410 0.3410 0.0270 Ga
0.6590 0.6590 0.9730 Ga
0.2136 0.2136 0.6007 Bi
0.7864 0.7864 0.3993 Bi
```

***

(20)
Ce2GaBi after structural relaxation, computed with PBE.

Calculated values
- Formation energy: -0.55 eV per atom
- ΔE to the lowest computed polymorph: 0.003 eV/atom
- Volume: 29.91 A^3/atom
- Total moment: 1.83 μB/f.u.

The structure in POSCAR format:
```
Ce2GaBi
1.0
2.3416 -11.7763 0.0000
2.3416 11.7763 0.0000
0.0000 0.0000 4.3380
Ce Ga Bi
4 2 2
Direct
0.0522 0.9478 0.7500 Ce
0.3256 0.6744 0.7500 Ce
0.6744 0.3256 0.2500 Ce
0.9478 0.0522 0.2500 Ce
0.4621 0.5379 0.7500 Ga
0.5379 0.4621 0.2500 Ga
0.1878 0.8122 0.7500 Bi
0.8122 0.1878 0.2500 Bi
```

***

(21)
Ce5GaBi5 after structural relaxation, computed with PBE.

Calculated values
- Formation energy: -0.45 eV per atom
- Volume: 34.95 A^3/atom
- Total moment: 1.37 μB/f.u.

The structure in POSCAR format:
```
Ce5GaBi5
1.0
7.1371 -3.1725 0.0000
7.1371 3.1725 0.0000
-2.9222 0.0000 8.4907
Ce Ga Bi
5 1 5
Direct
0.0000 0.0000 0.0000 Ce
0.3383 0.3383 0.6755 Ce
0.3391 0.3391 0.1604 Ce
0.6609 0.6609 0.8396 Ce
0.6617 0.6617 0.3245 Ce
0.5000 0.5000 0.0000 Ga
0.1603 0.1603 0.8212 Bi
0.1740 0.1740 0.3361 Bi
0.5000 0.5000 0.5000 Bi
0.8260 0.8260 0.6639 Bi
0.8397 0.8397 0.1788 Bi
```

***

(22)
Ce5Ga2Bi2 after structural relaxation, computed with PBE.

Calculated values
- Formation energy: -0.55 eV per atom
- Volume: 29.44 A^3/atom
- Total moment: 5.97 μB/f.u.

The structure in POSCAR format:
```
Ce5Ga2Bi2
1.0
7.8986 -4.1035 0.0000
7.8986 4.1035 0.0000
0.0000 0.0000 8.1752
Ce Ga Bi
10 4 4
Direct
0.0000 0.0000 0.0000 Ce
0.0518 0.6937 0.6782 Ce
0.1937 0.5518 0.1782 Ce
0.3063 0.9482 0.6782 Ce
0.4482 0.8063 0.1782 Ce
0.5000 0.5000 0.5000 Ce
0.5518 0.1937 0.8218 Ce
0.6937 0.0518 0.3218 Ce
0.8063 0.4482 0.8218 Ce
0.9482 0.3063 0.3218 Ce
0.1158 0.8842 0.3837 Ga
0.3842 0.6158 0.8837 Ga
0.6158 0.3842 0.1163 Ga
0.8842 0.1158 0.6163 Ga
0.2123 0.2123 0.0000 Bi
0.2877 0.2877 0.5000 Bi
0.7123 0.7123 0.5000 Bi
0.7877 0.7877 0.0000 Bi
```